a) This record from Alexandria describes an optimized crystal structure of SbPd2Pt4. The functional is PBE.

Cell: 9.370 9.370 2.858 Å, 90.00 90.00 151.24°
Sites, in units of the cell vectors:
Sb 0.000 0.000 0.000
Pd 0.284 0.716 0.500
Pd 0.716 0.284 0.500
Pt 0.134 0.866 0.500
Pt 0.417 0.583 0.000
Pt 0.583 0.417 0.000
Pt 0.866 0.134 0.500

b) This record from Alexandria describes an optimized crystal structure of SbPd2Pt4. The functional is PBE.

Cell: 5.729 6.286 7.507 Å, 103.76 111.77 103.60°
Sites, in units of the cell vectors:
Sb 0.000 0.000 0.000
Sb 0.204 0.713 0.559
Pd 0.136 0.133 0.712
Pd 0.634 0.141 0.701
Pd 0.783 0.286 0.422
Pd 0.855 0.856 0.287
Pt 0.074 0.573 0.846
Pt 0.281 0.283 0.423
Pt 0.353 0.851 0.274
Pt 0.426 0.425 0.135
Pt 0.513 0.004 0.998
Pt 0.570 0.564 0.855
Pt 0.697 0.707 0.567
Pt 0.925 0.427 0.131

Most stable one: b), least stable one: a).

a) This record from Alexandria describes an optimized crystal structure of SbPd4Pt2. The functional is PBE.

Cell: 6.853 5.912 5.122 Å, 76.42 56.99 46.59°
Sites, in units of the cell vectors:
Sb 0.000 0.000 0.000
Pd 0.000 0.000 0.500
Pd 0.250 0.250 0.250
Pd 0.500 0.500 0.000
Pd 0.750 0.750 0.750
Pt 0.361 0.361 0.639
Pt 0.639 0.639 0.361

b) This record from Alexandria describes an optimized crystal structure of SbPd4Pt2. The functional is PBE.

Cell: 6.737 5.518 7.046 Å, 90.00 116.70 90.00°
Sites, in units of the cell vectors:
Sb 0.065 0.250 0.323
Sb 0.935 0.750 0.677
Pd 0.230 0.750 0.074
Pd 0.353 0.503 0.771
Pd 0.353 0.997 0.771
Pd 0.495 0.250 0.496
Pd 0.505 0.750 0.504
Pd 0.647 0.003 0.229
Pd 0.647 0.497 0.229
Pd 0.770 0.250 0.926
Pt 0.055 0.750 0.368
Pt 0.240 0.250 0.054
Pt 0.760 0.750 0.946
Pt 0.945 0.250 0.632

Most stable one: b), least stable one: a).

a) This record from Alexandria describes an optimized crystal structure of Sb2PdPt6. The functional is PBE.

Cell: 7.588 7.588 4.157 Å, 105.83 105.83 44.51°
Sites, in units of the cell vectors:
Sb 0.157 0.157 0.157
Sb 0.843 0.843 0.843
Pd 0.500 0.500 0.000
Pt 0.158 0.638 0.398
Pt 0.290 0.290 0.790
Pt 0.362 0.842 0.602
Pt 0.638 0.158 0.398
Pt 0.710 0.710 0.210
Pt 0.842 0.362 0.602

b) This record from Alexandria describes an optimized crystal structure of Sb2PdPt6. The functional is PBE.

Cell: 6.799 6.799 3.753 Å, 90.10 90.10 74.38°
Sites, in units of the cell vectors:
Sb 0.213 0.787 0.000
Sb 0.787 0.213 0.000
Pd 0.581 0.581 0.497
Pt 0.193 0.517 0.499
Pt 0.198 0.198 0.999
Pt 0.517 0.193 0.499
Pt 0.556 0.883 0.998
Pt 0.882 0.882 0.499
Pt 0.883 0.556 0.998

Most stable one: a), least stable one: b).

a) This record from Alexandria describes an optimized crystal structure of Sb2Pd8Pt. The functional is PBE.

Cell: 7.512 7.512 6.543 Å, 109.87 109.87 31.84°
Sites, in units of the cell vectors:
Sb 0.207 0.207 0.168
Sb 0.793 0.793 0.832
Pd 0.037 0.037 0.241
Pd 0.150 0.150 0.712
Pd 0.326 0.326 0.582
Pd 0.407 0.407 0.048
Pd 0.593 0.593 0.952
Pd 0.674 0.674 0.418
Pd 0.850 0.850 0.288
Pd 0.963 0.963 0.759
Pt 0.500 0.500 0.500

b) This record from Alexandria describes an optimized crystal structure of Sb2Pd8Pt. The functional is PBE.

Cell: 7.365 7.365 7.365 Å, 147.16 119.51 70.56°
Sites, in units of the cell vectors:
Sb 0.183 0.183 0.000
Sb 0.817 0.817 0.000
Pd 0.072 0.341 0.732
Pd 0.212 0.000 0.212
Pd 0.347 0.847 0.500
Pd 0.391 0.659 0.732
Pd 0.609 0.341 0.268
Pd 0.653 0.153 0.500
Pd 0.788 0.000 0.788
Pd 0.928 0.659 0.268
Pt 0.500 0.500 0.000

Most stable one: b), least stable one: a).